[1]
Below is a relaxed TiVP3 crystal, with properties calculated at the PBE level.

a = 4.509 Å, b = 4.509 Å, c = 4.509 Å
α = 90.00°, β = 90.00°, γ = 90.00°
Site moments in Bohr magnetons follow the coordinates.
Positions (direct):
P1 0.000 0.500 0.000  -0.02
P2 0.000 0.000 0.500  -0.02
P3 0.500 0.000 0.000  -0.02
V1 0.000 0.000 0.000  0.07
Ti1 0.500 0.500 0.500  1.48

Computed properties:
Calculated volume = 91.7 Å³ per cell
Space-group type = Pm-3m (221)
Calculated total energy = -6.360 eV per atom
E above lowest polymorph = 0 kJ/mol of formula units
ΔH_f (0 K) = 139 kJ/mol of formula units
ρ = 3.47 g/cm³
Size of the total moment = 0.3460 μB per atom

[2]
Below is a relaxed CuGeOsS2 crystal, with properties calculated at the PBE level.

a = 4.509 Å, b = 4.882 Å, c = 4.509 Å
α = 90.00°, β = 90.00°, γ = 90.00°
Positions (direct):
Ge1 0.500 0.500 0.500
Os1 0.000 0.000 0.000
S1 0.000 0.000 0.500
S2 0.500 0.000 0.000
Cu1 0.000 0.500 0.000

Computed properties:
Calculated volume = 99.3 Å³ per cell
Space-group type = P4/mmm (123)
Calculated total energy = -4.969 eV per atom
E_form (uncorrected) = 0.670 eV per atom
ρ = 6.53 g/cm³
Size of the total moment = 0.0000 μB per atom

[3]
Below is a relaxed KBC crystal, with properties calculated at the PBE level.

a = 3.892 Å, b = 5.761 Å, c = 5.955 Å
α = 106.67°, β = 89.90°, γ = 70.81°
Positions (direct):
K1 0.915 0.871 0.942
K2 0.722 0.265 0.583
B1 0.087 0.543 0.317
B2 0.189 0.336 0.023
C1 0.455 0.450 0.166
C2 0.811 0.450 0.166

Computed properties:
Calculated volume = 120.1 Å³ per cell
Space-group type = P1 (1)
Calculated total energy = -5.351 eV per atom
ΔH_f (0 K) = 91 kJ/mol of formula units
ρ = 1.71 g/cm³
Size of the total moment = 0.0000 μB per atom

[4]
Below is a relaxed LiSm3Dy2S6 crystal, with properties calculated at the PBE level.

a = 6.811 Å, b = 6.811 Å, c = 6.857 Å
α = 99.55°, β = 99.55°, γ = 120.16°
Positions (direct):
Li1 0.000 0.000 0.000
Sm1 0.165 0.835 0.500
Sm2 0.835 0.165 0.500
Sm3 0.500 0.500 0.500
Dy1 0.334 0.666 0.000
Dy2 0.666 0.334 0.000
S1 0.921 0.594 0.762
S2 0.753 0.753 0.235
S3 0.079 0.406 0.238
S4 0.594 0.921 0.762
S5 0.247 0.247 0.765
S6 0.406 0.079 0.238

Computed properties:
Calculated volume = 259.3 Å³ per cell
Space-group type = C2/m (12)
Calculated total energy = -6.136 eV per atom
E_form (uncorrected) = -1.966 eV per atom
ρ = 6.25 g/cm³
Size of the total moment = 0.0000 μB per atom

> Which of these has the highest calculated volume?

LiSm3Dy2S6